First-principles (PBE with a Hubbard U) data for crystalline LiNiCF2 at its relaxed geometry, as listed in Alexandria.

Cell lengths 4.2331, 4.2331, 3.6394 Å; angles 90.00, 90.00, 90.00 degrees
Element x y z (fractional)
Li  0.0000  0.0000  0.0000
Ni  0.5000  0.5000  0.0000
C  0.5000  0.5000  0.5000
F  0.0000  0.5000  0.5000
F  0.5000  0.0000  0.5000

N(E_F): 0.01 states/eV/atom
DFT total energy: -17.82 eV/cell
space-group type: P4/mmm, No. 123